Computed, not measured: an optimized crystal structure of Ni2SeI at the PBE level of DFT.

Lattice parameters (Å, degrees): 3.654 6.875 7.871 90.00 90.00 90.00
Element x y z (fractional)
1 Ni 0.500 0.823 0.401
2 Ni 0.000 0.677 0.599
3 Ni 0.500 0.177 0.401
4 Ni 0.000 0.323 0.599
5 Se 0.500 0.500 0.460
6 Se 0.000 0.000 0.540
7 I 0.500 0.000 0.120
8 I 0.000 0.500 0.880



Computed, not measured: an optimized crystal structure of NiSe2I at the PBE level of DFT.

Lattice parameters (Å, degrees): 12.630 12.630 4.513 90.00 90.00 161.89
Element x y z (fractional)
1 Se 0.149 0.851 0.250
2 Se 0.036 0.964 0.750
3 Se 0.851 0.149 0.750
4 Se 0.964 0.036 0.250
5 I 0.335 0.665 0.250
6 I 0.665 0.335 0.750
7 Ni 0.943 0.057 0.750
8 Ni 0.057 0.943 0.250



Computed, not measured: an optimized crystal structure of Ni2SeI at the PBE level of DFT.

Lattice parameters (Å, degrees): 3.955 3.955 6.720 72.89 72.89 60.00
Element x y z (fractional)
1 I 0.000 0.000 0.000
2 Ni 0.866 0.866 0.401
3 Ni 0.134 0.134 0.599
4 Se 0.500 0.500 0.500



Computed, not measured: an optimized crystal structure of NiSe2I at the PBE level of DFT.

Lattice parameters (Å, degrees): 11.229 7.412 7.412 68.20 119.66 60.34
Element x y z (fractional)
1 Se 0.564 0.396 0.826
2 Se 0.436 0.604 0.174
3 Se 0.064 0.674 0.104
4 Se 0.936 0.326 0.896
5 Ni 0.750 0.251 0.751
6 Ni 0.250 0.749 0.249
7 I 0.250 0.147 0.647
8 I 0.750 0.853 0.353



Computed, not measured: an optimized crystal structure of NiSe2I at the PBE level of DFT.

Lattice parameters (Å, degrees): 7.007 8.621 4.081 72.82 84.44 95.40
Element x y z (fractional)
1 I 0.528 0.753 0.496
2 I 0.996 0.485 0.298
3 Ni 0.644 0.946 0.834
4 Ni 0.120 0.209 0.585
5 Se 0.822 0.151 0.974
6 Se 0.938 0.984 0.495
7 Se 0.315 0.277 0.028
8 Se 0.322 0.024 0.916



Computed, not measured: an optimized crystal structure of NiSe2I at the PBE level of DFT.

Lattice parameters (Å, degrees): 5.905 10.817 6.604 90.00 90.00 90.00
Element x y z (fractional)
1 I 0.016 0.890 0.016
2 I 0.516 0.610 0.016
3 I 0.984 0.110 0.516
4 I 0.484 0.390 0.516
5 Se 0.724 0.808 0.521
6 Se 0.776 0.308 0.021
7 Se 0.224 0.692 0.521
8 Se 0.051 0.466 0.094
9 Se 0.276 0.192 0.021
10 Se 0.949 0.534 0.594
11 Se 0.449 0.966 0.594
12 Se 0.551 0.034 0.094
13 Ni 0.589 0.618 0.619
14 Ni 0.411 0.382 0.119
15 Ni 0.089 0.882 0.619
16 Ni 0.911 0.118 0.119



Computed, not measured: an optimized crystal structure of NiSe2I at the PBE level of DFT.

Lattice parameters (Å, degrees): 3.302 3.302 11.458 90.00 90.00 120.00
Element x y z (fractional)
1 Se 0.333 0.667 0.650
2 Se 0.667 0.333 0.338
3 I 0.000 0.000 0.016
4 Ni 0.333 0.667 0.450



Computed, not measured: an optimized crystal structure of NiSe2I at the PBE level of DFT.

Lattice parameters (Å, degrees): 6.771 7.497 5.791 106.25 66.01 103.39
Element x y z (fractional)
1 I 0.087 0.066 0.936
2 I 0.488 0.861 0.168
3 Se 0.870 0.809 0.533
4 Se 0.084 0.505 0.594
5 Se 0.271 0.420 0.818
6 Se 0.784 0.549 0.220
7 Ni 0.140 0.640 0.188
8 Ni 0.824 0.687 0.888



Computed, not measured: an optimized crystal structure of YNiSeI2 at the PBE level of DFT.

Lattice parameters (Å, degrees): 4.876 6.001 4.876 90.00 90.00 90.00
Element x y z (fractional)
1 Y 0.000 0.500 0.000
2 Se 0.500 0.500 0.500
3 I 0.500 0.000 0.000
4 I 0.000 0.000 0.500
5 Ni 0.000 0.000 0.000



Computed, not measured: an optimized crystal structure of SiNi2I at the PBE level of DFT.

Lattice parameters (Å, degrees): 4.473 4.473 4.473 60.00 60.00 60.00
Element x y z (fractional)
1 I 0.500 0.500 0.500
2 Ni 0.250 0.250 0.250
3 Ni 0.750 0.750 0.750
4 Si 0.000 0.000 0.000



Computed, not measured: an optimized crystal structure of SiNi2I at the PBE level of DFT.

Lattice parameters (Å, degrees): 5.540 5.540 6.635 65.32 65.32 90.00
Element x y z (fractional)
1 Ni 0.580 0.125 0.250
2 Ni 0.375 0.420 0.750
3 Ni 0.875 0.830 0.750
4 Ni 0.170 0.625 0.250
5 Si 0.250 0.750 0.500
6 Si 0.500 0.500 0.000
7 I 0.000 0.000 0.000
8 I 0.750 0.250 0.500



Computed, not measured: an optimized crystal structure of SiNi3I at the PBE level of DFT.

Lattice parameters (Å, degrees): 4.637 4.637 4.637 90.00 90.00 90.00
Element x y z (fractional)
1 Ni 0.000 0.500 0.000
2 Ni 0.000 0.000 0.500
3 Ni 0.500 0.000 0.000
4 Si 0.500 0.500 0.500
5 I 0.000 0.000 0.000



Computed, not measured: an optimized crystal structure of SiNi3I at the PBE level of DFT.

Lattice parameters (Å, degrees): 4.382 4.382 4.382 90.00 90.00 90.00
Element x y z (fractional)
1 Si 0.000 0.000 0.000
2 Ni 0.500 0.000 0.000
3 Ni 0.000 0.000 0.500
4 Ni 0.000 0.500 0.000
5 I 0.500 0.500 0.500



Computed, not measured: an optimized crystal structure of Sr2SiNiI at the PBE level of DFT.

Lattice parameters (Å, degrees): 5.926 5.926 4.307 90.00 90.00 90.00
Element x y z (fractional)
1 Sr 0.500 0.000 0.000
2 Sr 0.000 0.500 0.000
3 Ni 0.000 0.000 0.000
4 Si 0.000 0.000 0.500
5 I 0.500 0.500 0.500



Computed, not measured: an optimized crystal structure of SiNiTe2I at the PBE level of DFT.

Lattice parameters (Å, degrees): 5.291 5.291 5.404 90.00 90.00 90.00
Last column: magnetic moment on the atom in μB.
Element x y z (fractional)
1 Si 0.000 0.000 0.000  -0.01
2 Te 0.000 0.500 0.000  0.12
3 Te 0.500 0.000 0.000  0.12
4 I 0.000 0.000 0.500  0.07
5 Ni 0.500 0.500 0.500  1.01



Computed, not measured: an optimized crystal structure of SiNiTe2I at the PBE level of DFT.

Lattice parameters (Å, degrees): 5.045 5.045 5.215 90.00 90.00 90.00
Element x y z (fractional)
1 I 0.000 0.000 0.500
2 Ni 0.000 0.000 0.000
3 Te 0.000 0.500 0.000
4 Te 0.500 0.000 0.000
5 Si 0.500 0.500 0.500



Computed, not measured: an optimized crystal structure of Sm2NiI at the PBE level of DFT.

Lattice parameters (Å, degrees): 4.090 4.090 8.327 75.78 75.78 60.00
Element x y z (fractional)
1 Sm 0.273 0.273 0.180
2 Sm 0.060 0.060 0.819
3 Ni 0.667 0.667 0.000
4 I 0.499 0.499 0.502



Computed, not measured: an optimized crystal structure of Sm6NiI12 at the PBE level of DFT.

Lattice parameters (Å, degrees): 9.171 9.171 9.171 75.27 75.27 75.27
Element x y z (fractional)
1 I 0.447 0.447 0.827
2 I 0.894 0.424 0.894
3 I 0.827 0.447 0.447
4 I 0.447 0.827 0.447
5 I 0.424 0.894 0.894
6 I 0.553 0.173 0.553
7 I 0.576 0.106 0.106
8 I 0.106 0.106 0.576
9 I 0.173 0.553 0.553
10 I 0.106 0.576 0.106
11 I 0.894 0.894 0.424
12 I 0.553 0.553 0.173
13 Ni 0.000 0.000 0.000
14 Sm 0.779 0.779 0.187
15 Sm 0.813 0.221 0.221
16 Sm 0.187 0.779 0.779
17 Sm 0.221 0.813 0.221
18 Sm 0.221 0.221 0.813
19 Sm 0.779 0.187 0.779



Computed, not measured: an optimized crystal structure of Sm7NiI12 at the PBE level of DFT.

Lattice parameters (Å, degrees): 9.877 9.877 9.877 107.41 107.41 107.41
Last column: magnetic moment on the atom in μB.
Element x y z (fractional)
1 Sm 0.898 0.970 0.699  0.02
2 Sm 0.970 0.699 0.898  0.02
3 Sm 0.301 0.102 0.030  0.02
4 Sm 0.030 0.301 0.102  0.02
5 Sm 0.102 0.030 0.301  0.02
6 Sm 0.500 0.500 0.500  0.15
7 Sm 0.699 0.898 0.970  0.02
8 I 0.390 0.471 0.157  0.00
9 I 0.529 0.843 0.610  0.00
10 I 0.319 0.775 0.925  0.00
11 I 0.681 0.225 0.075  0.00
12 I 0.225 0.075 0.681  0.00
13 I 0.925 0.319 0.775  0.00
14 I 0.843 0.610 0.529  0.00
15 I 0.775 0.925 0.319  0.00
16 I 0.075 0.681 0.225  0.00
17 I 0.471 0.157 0.390  0.00
18 I 0.157 0.390 0.471  0.00
19 I 0.610 0.529 0.843  0.00
20 Ni 0.000 0.000 0.000  0.03



Computed, not measured: an optimized crystal structure of Sm4Ni2I5 at the PBE level of DFT.

Lattice parameters (Å, degrees): 4.147 8.825 11.025 113.59 100.84 90.00
Element x y z (fractional)
1 Ni 0.555 0.555 0.111
2 Ni 0.445 0.445 0.889
3 I 0.833 0.057 0.667
4 I 0.167 0.943 0.333
5 I 0.833 0.610 0.667
6 I 0.167 0.390 0.333
7 I 0.500 0.000 0.000
8 Sm 0.000 0.701 0.000
9 Sm 0.000 0.299 0.000
10 Sm 0.679 0.679 0.357
11 Sm 0.321 0.321 0.643



| no. | ΔE_f (raw) (eV per atom) | DOS(E_F) (states/eV/cell) | M_tot (Bohr magnetons per cell) |
| --- | --- | --- | --- |
| 1 | -0.073 | 5.103 | 0.000 |
| 2 | 0.091 | 4.808 | 0.000 |
| 3 | -0.043 | 4.324 | 0.000 |
| 4 | -0.022 | 7.760 | 0.000 |
| 5 | -0.111 | 0.000 | 0.000 |
| 6 | -0.082 | 16.204 | 0.000 |
| 7 | 0.181 | 4.061 | 0.000 |
| 8 | -0.100 | 0.000 | 0.000 |
| 9 | -0.155 | 2.778 | 0.000 |
| 10 | 0.554 | 1.407 | 0.000 |
| 11 | 0.271 | 6.603 | 0.000 |
| 12 | 1.220 | 4.591 | 0.000 |
| 13 | 0.497 | 4.297 | 0.000 |
| 14 | -0.665 | 1.510 | 0.000 |
| 15 | 0.902 | 10.345 | 1.549 |
| 16 | 0.563 | 3.997 | 0.000 |
| 17 | -0.664 | 2.712 | 0.000 |
| 18 | -0.978 | 9.245 | 0.001 |
| 19 | -1.222 | 4.974 | 0.585 |
| 20 | -0.829 | 6.619 | 0.000 |